## a
PBE Li3SnPb2, relaxed; spin magnetization = 0.00 μB per cell
1.0
6.2489 0.0000 0.0000
0.0000 6.7482 1.3786
0.0000 -1.0189 6.8118
Li Pb Sn
6 4 2
direct
0.0000 0.2621 0.7379
0.5000 0.7379 0.2621
0.0000 0.7379 0.2621
0.5000 0.2621 0.7379
0.2500 0.7066 0.7066
0.7500 0.2934 0.2934
0.7500 0.5648 0.9155
0.7500 0.9155 0.5648
0.2500 0.4352 0.0845
0.2500 0.0845 0.4352
0.2500 0.9987 0.9987
0.7500 0.0013 0.0013

***

## b
PBE Li3SnPb2, relaxed; spin magnetization = 0.00 μB per cell
1.0
3.5331 0.0000 0.0000
0.0000 3.5331 0.0000
0.0000 0.0000 10.4976
Li Sn Pb
3 1 2
direct
0.0000 0.0000 0.3446
0.0000 0.0000 0.6554
0.0000 0.0000 0.0000
0.5000 0.5000 0.5000
0.5000 0.5000 0.8273
0.5000 0.5000 0.1727

***

It is b that is the most stable of them.

***

## a
PBE Li3SnPb3, relaxed; spin magnetization = 0.00 μB per cell
1.0
7.4478 0.0000 0.0000
0.0000 7.4478 0.0000
0.0000 0.0000 7.4478
Pb Li Sn
6 6 2
direct
0.5000 0.0000 0.2500
0.0000 0.7500 0.5000
0.0000 0.2500 0.5000
0.2500 0.5000 0.0000
0.5000 0.0000 0.7500
0.7500 0.5000 0.0000
0.2500 0.0000 0.5000
0.0000 0.5000 0.7500
0.5000 0.2500 0.0000
0.5000 0.7500 0.0000
0.7500 0.0000 0.5000
0.0000 0.5000 0.2500
0.0000 0.0000 0.0000
0.5000 0.5000 0.5000

***

## b
PBE Li3SnPb3, relaxed; spin magnetization = 0.00 μB per cell
1.0
-0.0987 0.9833 6.9169
0.3187 -6.8982 1.0642
6.8099 0.3229 0.0508
Pb Li Sn
6 6 2
direct
0.7033 0.7033 0.4992
0.6953 0.3047 0.0000
0.3047 0.6953 0.0000
0.2967 0.2967 0.5008
0.2322 0.7678 0.5000
0.7678 0.2322 0.5000
0.5004 0.9996 0.7557
0.4996 0.0004 0.2443
0.9996 0.5004 0.7557
0.0004 0.4996 0.2443
0.9996 0.9996 0.7694
0.0004 0.0004 0.2306
0.2425 0.2425 0.9992
0.7575 0.7575 0.0008

***

It is b that is the most stable of them.

***

## a
PBE Li6SnPb, relaxed; spin magnetization = 0.00 μB per cell
1.0
4.7658 0.0000 0.0000
0.0000 6.0498 -0.1966
0.0000 -2.8548 5.3375
Sn Li Pb
1 6 1
direct
0.5000 0.4166 0.5834
0.5000 0.9210 0.0790
0.0000 0.5755 0.4245
0.0000 0.0989 0.4245
0.5000 0.4077 0.0790
0.0000 0.5755 0.9011
0.5000 0.9210 0.5923
0.0000 0.0833 0.9167

***

## b
PBE Li6SnPb, relaxed; spin magnetization = 0.00 μB per cell
1.0
-3.1815 2.2368 2.6303
-4.5652 -0.9749 -0.5024
-2.0077 -5.0051 6.0180
Sn Li Pb
1 6 1
direct
0.5000 0.5000 0.5000
0.1264 0.1264 0.6207
0.7520 0.7520 0.7440
0.6246 0.6246 0.1263
0.3754 0.3754 0.8737
0.2480 0.2480 0.2560
0.8736 0.8736 0.3793
0.0000 0.0000 0.0000

***

It is b that is the most stable of them.

***

## a
PBE Li3SnPb, relaxed; spin magnetization = 0.00 μB per cell
1.0
-1.0687 -4.1920 2.6538
2.8366 1.7109 3.8450
-4.0705 2.2929 1.9827
Li Sn Pb
3 1 1
direct
0.5000 0.0000 0.0000
0.0000 0.0000 0.5000
0.0000 0.5000 0.0000
0.0000 0.0000 0.0000
0.5000 0.5000 0.5000

***

## b
PBE Li3SnPb, relaxed; spin magnetization = 0.00 μB per cell
1.0
-2.5295 0.9284 -4.0356
-6.7567 -1.7620 3.8296
-0.5453 5.7087 1.6550
Pb Li Sn
2 6 2
direct
0.2500 0.2497 0.7304
0.7500 0.7503 0.2696
0.7500 0.0856 0.9870
0.2500 0.7499 0.5328
0.2500 0.5857 0.0128
0.2500 0.9144 0.0130
0.7500 0.4143 0.9872
0.7500 0.2501 0.4672
0.2500 0.2503 0.2169
0.7500 0.7497 0.7831

***

## c
PBE Li3SnPb, relaxed; spin magnetization = 0.00 μB per cell
1.0
-4.4041 1.6464 -1.0154
-1.9218 -2.4680 4.3336
3.6924 5.9898 5.0486
Li Pb Sn
6 2 2
direct
0.6360 0.2500 0.2746
0.1528 0.7500 0.3045
0.8472 0.2500 0.6955
0.3640 0.7500 0.7254
0.0000 0.5000 0.0000
0.0000 0.0000 0.0000
0.7561 0.7500 0.5099
0.2439 0.2500 0.4901
0.5552 0.7500 0.1088
0.4448 0.2500 0.8912

***

It is c that is the most stable of them.

***

## a
PBE LiSnPb6, relaxed; spin magnetization = 0.00 μB per cell
1.0
6.3303 1.4062 0.0000
2.7578 6.9323 0.0000
1.3789 3.4661 6.0766
Pb Li Sn
6 1 1
direct
0.7501 0.4715 0.5467
0.2499 0.5285 0.4533
0.7569 0.7527 0.0000
0.2499 0.9818 0.5467
0.2431 0.2473 0.0000
0.7501 0.0182 0.4533
0.0000 0.0000 0.0000
0.5000 0.5000 0.0000

***

## b
PBE LiSnPb6, relaxed; spin magnetization = 0.00 μB per cell
1.0
-3.1515 -4.0426 -3.0388
5.4950 -3.8586 -0.5656
-3.9383 -0.9739 5.3800
Pb Li Sn
6 1 1
direct
0.0000 0.2618 0.2618
0.0000 0.2431 0.7569
0.5000 0.5000 0.0000
0.0000 0.7569 0.2431
0.5000 0.0000 0.5000
0.0000 0.7382 0.7382
0.5000 0.0000 0.0000
0.5000 0.5000 0.5000

***

It is b that is the most stable of them.

***

## a
PBE Li8Sn2Pb, relaxed; spin magnetization = 0.00 μB per cell
1.0
-3.2267 3.3548 -1.3569
-4.0490 -3.2265 1.6515
1.9437 1.5216 7.8020
Li Sn Pb
8 2 1
direct
0.3156 0.0788 0.6313
0.6844 0.9212 0.3687
0.9608 0.2580 0.9216
0.4038 0.5359 0.8077
0.0392 0.7420 0.0784
0.1347 0.1612 0.2693
0.8653 0.8388 0.7307
0.5962 0.4641 0.1923
0.2127 0.6316 0.4255
0.7873 0.3684 0.5745
0.5000 0.0000 0.0000

***

## b
PBE Li8Sn2Pb, relaxed; spin magnetization = 0.00 μB per cell
1.0
4.7119 0.0000 0.0000
0.0000 7.2966 -0.2151
-2.3560 -3.3222 6.1931
Li Pb Sn
8 1 2
direct
0.3818 0.5545 0.7636
0.1552 0.2108 0.3103
0.0217 0.7252 0.0433
0.9784 0.2748 0.9567
0.6709 0.8813 0.3418
0.3291 0.1187 0.6582
0.8448 0.7892 0.6897
0.6182 0.4455 0.2364
0.5000 0.0000 0.0000
0.2083 0.6720 0.4166
0.7917 0.3280 0.5834

***

It is a that is the most stable of them.